Arrangement 1

Entry from Alexandria: PrSm2Er2 after structural relaxation (PBE). Values from VASP.

Summary:
Magnetic moment   0.000 Bohr magnetons per cell

Quantum ESPRESSO input file:
```
&SYSTEM
  ibrav = 0, nat = 10, ntyp = 3
/
ATOMIC_SPECIES
Sm 150.36 Sm.upf
Er 167.26 Er.upf
Pr 140.91 Pr.upf
ATOMIC_POSITIONS crystal
Sm 0.850 0.752 0.446
Sm 0.150 0.248 0.554
Sm 0.293 0.001 0.083
Sm 0.707 0.999 0.917
Er 0.651 0.749 0.054
Er 0.251 0.750 0.249
Er 0.749 0.250 0.751
Er 0.349 0.251 0.946
Pr 0.211 0.500 0.421
Pr 0.789 0.500 0.579
CELL_PARAMETERS angstrom
5.997 0.402 -3.018
-3.156 7.425 -6.112
0.670 -1.699 8.591
```

***

Arrangement 2

Entry from Alexandria: PrSm2Er2 after structural relaxation (PBE). Values from VASP.

Summary:
Magnetic moment   0.000 Bohr magnetons per cell

Quantum ESPRESSO input file:
```
&SYSTEM
  ibrav = 0, nat = 10, ntyp = 3
/
ATOMIC_SPECIES
Er 167.26 Er.upf
Pr 140.91 Pr.upf
Sm 150.36 Sm.upf
ATOMIC_POSITIONS crystal
Er 0.500 0.170 0.330
Er 0.500 0.830 0.670
Er 0.500 0.670 0.170
Er 0.500 0.330 0.830
Pr 0.000 0.000 0.000
Pr 0.000 0.500 0.500
Sm 0.000 0.873 0.373
Sm 0.000 0.373 0.127
Sm 0.000 0.627 0.873
Sm 0.000 0.127 0.627
CELL_PARAMETERS angstrom
3.789 0.000 0.000
0.000 9.404 0.000
0.000 0.000 9.404
```

***

Which structure wins on stability? arrangement 1 wins.

***

Arrangement 1

Entry from Alexandria: Pr4Sm4Er3 after structural relaxation (PBE). Values from VASP.

Summary:
Magnetic moment   0.000 Bohr magnetons per cell

Quantum ESPRESSO input file:
```
&SYSTEM
  ibrav = 0, nat = 11, ntyp = 3
/
ATOMIC_SPECIES
Er 167.26 Er.upf
Pr 140.91 Pr.upf
Sm 150.36 Sm.upf
ATOMIC_POSITIONS crystal
Er 0.636 0.636 0.139
Er 0.000 0.000 0.500
Er 0.364 0.364 0.861
Pr 0.278 0.278 0.277
Pr 0.722 0.722 0.723
Pr 0.905 0.905 0.402
Pr 0.095 0.095 0.598
Sm 0.545 0.545 0.047
Sm 0.817 0.817 0.815
Sm 0.183 0.183 0.185
Sm 0.455 0.455 0.953
CELL_PARAMETERS angstrom
2.754 18.994 -1.000
-2.754 18.994 -1.000
0.000 -0.146 3.556
```

***

Arrangement 2

Entry from Alexandria: Pr4Sm4Er3 after structural relaxation (PBE). Values from VASP.

Summary:
Magnetic moment   0.000 Bohr magnetons per cell

Quantum ESPRESSO input file:
```
&SYSTEM
  ibrav = 0, nat = 11, ntyp = 3
/
ATOMIC_SPECIES
Sm 150.36 Sm.upf
Er 167.26 Er.upf
Pr 140.91 Pr.upf
ATOMIC_POSITIONS crystal
Sm 0.409 0.908 0.181
Sm 0.733 0.733 0.535
Sm 0.267 0.267 0.465
Sm 0.591 0.092 0.819
Er 0.863 0.363 0.272
Er 0.000 0.000 0.000
Er 0.137 0.637 0.728
Pr 0.680 0.180 0.641
Pr 0.320 0.820 0.359
Pr 0.454 0.452 0.092
Pr 0.547 0.548 0.908
CELL_PARAMETERS angstrom
-2.596 0.552 2.390
3.696 -1.023 4.249
4.783 17.379 3.849
```

***

Which structure wins on stability? arrangement 1 wins.

***

Arrangement 1

Entry from Alexandria: Pr6Sm12Er after structural relaxation (PBE). Values from VASP.

Summary:
Magnetic moment   0.000 Bohr magnetons per cell

Quantum ESPRESSO input file:
```
&SYSTEM
  ibrav = 0, nat = 19, ntyp = 3
/
ATOMIC_SPECIES
Pr 140.91 Pr.upf
Sm 150.36 Sm.upf
Er 167.26 Er.upf
ATOMIC_POSITIONS crystal
Pr 0.268 0.526 0.268
Pr 0.268 0.268 0.526
Pr 0.732 0.732 0.474
Pr 0.474 0.732 0.732
Pr 0.732 0.474 0.732
Pr 0.526 0.268 0.268
Sm 0.096 0.738 0.738
Sm 0.879 0.121 0.500
Sm 0.121 0.879 0.500
Sm 0.500 0.121 0.879
Sm 0.738 0.738 0.096
Sm 0.738 0.096 0.738
Sm 0.262 0.904 0.262
Sm 0.879 0.500 0.121
Sm 0.121 0.500 0.879
Sm 0.262 0.262 0.904
Sm 0.500 0.879 0.121
Sm 0.904 0.262 0.262
Er 0.000 0.000 0.000
CELL_PARAMETERS angstrom
9.463 -1.869 -2.695
-3.005 9.166 -2.695
-1.654 -1.869 9.699
```

***

Arrangement 2

Entry from Alexandria: Pr6Sm12Er after structural relaxation (PBE). Values from VASP.

Summary:
Magnetic moment   0.000 Bohr magnetons per cell

Quantum ESPRESSO input file:
```
&SYSTEM
  ibrav = 0, nat = 19, ntyp = 3
/
ATOMIC_SPECIES
Sm 150.36 Sm.upf
Pr 140.91 Pr.upf
Er 167.26 Er.upf
ATOMIC_POSITIONS crystal
Sm 0.508 0.864 0.864
Sm 0.136 0.492 0.136
Sm 0.802 0.485 0.485
Sm 0.136 0.136 0.492
Sm 0.485 0.485 0.802
Sm 0.864 0.508 0.864
Sm 0.515 0.515 0.198
Sm 0.515 0.198 0.515
Sm 0.485 0.802 0.485
Sm 0.492 0.136 0.136
Sm 0.198 0.515 0.515
Sm 0.864 0.864 0.508
Pr 0.232 0.839 0.232
Pr 0.232 0.232 0.839
Pr 0.839 0.232 0.232
Pr 0.161 0.768 0.768
Pr 0.768 0.768 0.161
Pr 0.768 0.161 0.768
Er 0.000 0.000 0.000
CELL_PARAMETERS angstrom
-3.615 -8.092 -0.091
2.958 -3.273 7.687
-7.066 1.233 5.207
```

***

Which structure wins on stability? arrangement 2 wins.

***

Arrangement 1

Entry from Alexandria: Pr5Sm2Er3 after structural relaxation (PBE). Values from VASP.

Summary:
Magnetic moment   0.000 Bohr magnetons per cell

Quantum ESPRESSO input file:
```
&SYSTEM
  ibrav = 0, nat = 20, ntyp = 3
/
ATOMIC_SPECIES
Sm 150.36 Sm.upf
Pr 140.91 Pr.upf
Er 167.26 Er.upf
ATOMIC_POSITIONS crystal
Sm 0.026 0.968 0.242
Sm 0.284 0.726 0.758
Sm 0.716 0.274 0.242
Sm 0.974 0.032 0.758
Pr 0.773 0.523 0.045
Pr 0.019 0.269 0.538
Pr 0.227 0.477 0.955
Pr 0.880 0.626 0.758
Pr 0.981 0.731 0.462
Pr 0.521 0.771 0.543
Pr 0.622 0.868 0.242
Pr 0.378 0.132 0.758
Pr 0.479 0.229 0.457
Pr 0.120 0.374 0.242
Er 0.224 0.780 0.248
Er 0.729 0.979 0.958
Er 0.776 0.220 0.752
Er 0.524 0.467 0.248
Er 0.271 0.021 0.042
Er 0.476 0.533 0.752
CELL_PARAMETERS angstrom
9.510 -2.077 -2.666
-3.341 9.096 -2.885
-0.638 -0.570 9.212
```

***

Arrangement 2

Entry from Alexandria: Pr5Sm2Er3 after structural relaxation (PBE). Values from VASP.

Summary:
Magnetic moment   0.000 Bohr magnetons per cell

Quantum ESPRESSO input file:
```
&SYSTEM
  ibrav = 0, nat = 20, ntyp = 3
/
ATOMIC_SPECIES
Pr 140.91 Pr.upf
Sm 150.36 Sm.upf
Er 167.26 Er.upf
ATOMIC_POSITIONS crystal
Pr 0.504 0.246 0.246
Pr 0.872 0.531 0.725
Pr 0.750 0.500 0.500
Pr 0.372 0.725 0.531
Pr 0.996 0.754 0.754
Pr 0.496 0.754 0.754
Pr 0.004 0.246 0.246
Pr 0.250 0.500 0.500
Pr 0.128 0.469 0.275
Pr 0.628 0.275 0.469
Sm 0.880 0.216 0.024
Sm 0.620 0.976 0.784
Sm 0.120 0.784 0.976
Sm 0.380 0.024 0.216
Er 0.250 0.000 0.000
Er 0.750 0.000 0.000
Er 0.882 0.872 0.363
Er 0.382 0.363 0.872
Er 0.618 0.637 0.128
Er 0.118 0.128 0.637
CELL_PARAMETERS angstrom
-1.003 -6.383 2.363
11.141 -5.729 -0.732
9.461 -2.260 7.929
```

***

Which structure wins on stability? arrangement 1 wins.

***

Arrangement 1

Entry from Alexandria: Pr2SmEr4 after structural relaxation (PBE). Values from VASP.

Summary:
Magnetic moment   0.000 Bohr magnetons per cell

Quantum ESPRESSO input file:
```
&SYSTEM
  ibrav = 0, nat = 14, ntyp = 3
/
ATOMIC_SPECIES
Pr 140.91 Pr.upf
Er 167.26 Er.upf
Sm 150.36 Sm.upf
ATOMIC_POSITIONS crystal
Pr 0.317 0.881 0.317
Pr 0.461 0.312 0.461
Pr 0.220 0.760 0.719
Pr 0.073 0.332 0.576
Er 0.509 0.621 0.010
Er 0.364 0.192 0.865
Er 0.882 0.595 0.890
Er 0.651 0.047 0.147
Er 0.604 0.739 0.600
Er 0.744 0.165 0.747
Er 0.174 0.452 0.168
Er 0.931 0.905 0.436
Sm 0.026 0.022 0.026
Sm 0.792 0.477 0.288
CELL_PARAMETERS angstrom
8.216 0.615 -2.143
-3.837 8.340 -2.994
0.259 -0.644 6.753
```

***

Arrangement 2

Entry from Alexandria: Pr2SmEr4 after structural relaxation (PBE). Values from VASP.

Summary:
Magnetic moment   0.000 Bohr magnetons per cell

Quantum ESPRESSO input file:
```
&SYSTEM
  ibrav = 0, nat = 14, ntyp = 3
/
ATOMIC_SPECIES
Er 167.26 Er.upf
Pr 140.91 Pr.upf
Sm 150.36 Sm.upf
ATOMIC_POSITIONS crystal
Er 0.472 0.746 0.772
Er 0.877 0.610 0.733
Er 0.375 0.052 0.678
Er 0.373 0.606 0.233
Er 0.975 0.749 0.276
Er 0.778 0.050 0.774
Er 0.875 0.053 0.177
Er 0.275 0.051 0.274
Pr 0.625 0.383 0.258
Pr 0.652 0.045 0.391
Pr 0.125 0.382 0.757
Pr 0.599 0.490 0.893
Sm 0.152 0.043 0.892
Sm 0.098 0.490 0.391
CELL_PARAMETERS angstrom
-8.820 1.427 0.082
-0.240 -8.197 -3.530
2.098 3.447 7.965
```

***

Which structure wins on stability? arrangement 1 wins.

***

Arrangement 1

Entry from Alexandria: PrSm8Er2 after structural relaxation (PBE). Values from VASP.

Summary:
Magnetic moment   0.000 Bohr magnetons per cell

Quantum ESPRESSO input file:
```
&SYSTEM
  ibrav = 0, nat = 11, ntyp = 3
/
ATOMIC_SPECIES
Sm 150.36 Sm.upf
Er 167.26 Er.upf
Pr 140.91 Pr.upf
ATOMIC_POSITIONS crystal
Sm 0.272 0.408 0.408
Sm 0.728 0.592 0.592
Sm 0.768 0.647 0.174
Sm 0.824 0.244 0.244
Sm 0.176 0.756 0.756
Sm 0.232 0.826 0.353
Sm 0.768 0.174 0.647
Sm 0.232 0.353 0.826
Er 0.607 0.796 0.796
Er 0.393 0.204 0.204
Pr 0.000 0.000 0.000
CELL_PARAMETERS angstrom
6.300 1.831 1.390
2.146 9.682 3.109
2.146 5.601 8.487
```

***

Arrangement 2

Entry from Alexandria: PrSm8Er2 after structural relaxation (PBE). Values from VASP.

Summary:
Magnetic moment   0.000 Bohr magnetons per cell

Quantum ESPRESSO input file:
```
&SYSTEM
  ibrav = 0, nat = 11, ntyp = 3
/
ATOMIC_SPECIES
Sm 150.36 Sm.upf
Pr 140.91 Pr.upf
Er 167.26 Er.upf
ATOMIC_POSITIONS crystal
Sm 0.592 0.457 0.185
Sm 0.683 0.910 0.365
Sm 0.317 0.090 0.635
Sm 0.953 0.274 0.907
Sm 0.047 0.726 0.093
Sm 0.408 0.543 0.815
Sm 0.862 0.814 0.724
Sm 0.138 0.186 0.276
Pr 0.500 0.000 0.000
Er 0.228 0.635 0.455
Er 0.772 0.365 0.545
CELL_PARAMETERS angstrom
-0.865 -4.628 1.986
7.958 -1.100 0.903
-2.385 6.209 6.856
```

***

Which structure wins on stability? arrangement 2 wins.